Density functional theory data (PBE-GGA) for a relaxed SrZrPt2 crystal.

- SG = I-4m2 (119)
- DFT total energy (eV per atom) = -6.023
- energy of formation from the pure elements (eV per atom) = -0.446
- DOS at the Fermi energy (states/eV/cell) = 3.409
- energy relative to the lowest polymorph listed for this composition (meV/atom) = 466

Unit cell a=5.691 b=5.691 c=5.691 alpha=137.35 beta=137.35 gamma=61.90
Sites, in units of the cell vectors:
Sr 0.500 0.500 0.000
Pt 0.250 0.750 0.500
Pt 0.000 0.000 0.000
Zr 0.750 0.250 0.500